Density functional theory data (GGA-PBE) for TcSbTe2I after structural relaxation.

Properties
Total magnetic moment: 0.000 μB per atom
Space-group type: P4/mmm (123)
Energy relative to the elements, uncorrected: 0.3682 eV per atom
Polymorph energy (0 for the lowest one): 0 meV/atom

Lattice parameters (Å, degrees): 5.214 5.214 5.420 90.00 90.00 90.00
Fractional positions:
Te 0.000 0.500 0.000
Sb 0.000 0.000 0.500
Te 0.500 0.000 0.000
Tc 0.000 0.000 0.000
I 0.500 0.500 0.500